This record from Alexandria via LeMat-Bulk describes crystalline TmHgBi2 at its relaxed geometry. The functional is PBE.

abc: 4.908 4.908 4.602
angles: 90.00 90.00 90.00
Fractional coordinates of all 4 atoms:
Tm 0.000 0.000 0.000
Hg 0.500 0.500 0.000
Bi 0.000 0.500 0.500
Bi 0.500 0.000 0.500

space-group type = No. 123
calculated formation energy = -304 meV per atom
crystal system = tetragonal
total energy = -13.75 eV for the cell shown
mass density = 11.79 g/cm³